A plane-wave DFT calculation with PBE was carried out for a relaxed structure of Sr2Rh4Au.

Values from the calculation:
For the magnetization, the calculation gives 0.12 μB per atom. For the total DFT energy (no corrections), the calculation gives -31.04 eV/cell. As for the space group: No. 139.

Lattice parameters (Å, degrees): 8.1178 8.1178 8.1178 144.55 144.55 51.01
Atoms (fractional coordinates):
Sr1 0.1368 0.1368 0.0000
Sr2 0.8632 0.8632 0.0000
Rh1 0.0000 0.5000 0.5000
Rh2 0.3290 0.3290 0.0000
Rh3 0.5000 0.0000 0.5000
Rh4 0.6710 0.6710 0.0000
Au1 0.5000 0.5000 0.0000

***

A plane-wave DFT calculation with PBE was carried out for a relaxed structure of LaErTh4.

Values from the calculation:
For the magnetization, the calculation gives 0.00 μB per atom. For the total DFT energy (no corrections), the calculation gives -38.94 eV/cell. As for the space group: No. 123.

Lattice parameters (Å, degrees): 3.5910 3.5910 15.1639 90.00 90.00 90.00
Atoms (fractional coordinates):
La1 0.0000 0.0000 0.0000
Er1 0.5000 0.5000 0.5000
Th1 0.0000 0.0000 0.3352
Th2 0.0000 0.0000 0.6648
Th3 0.5000 0.5000 0.1743
Th4 0.5000 0.5000 0.8257

***

A plane-wave DFT calculation with PBE was carried out for a relaxed structure of Cs2ScAgW.

Values from the calculation:
For the magnetization, the calculation gives 1.35 μB per atom. For the total DFT energy (no corrections), the calculation gives -13.94 eV/cell. As for the space group: No. 123.

Lattice parameters (Å, degrees): 6.5573 6.5573 5.0514 90.00 90.00 90.00
Atoms (fractional coordinates):
Cs1 0.0000 0.5000 0.0000
Cs2 0.5000 0.0000 0.0000
Sc1 0.0000 0.0000 0.0000
Ag1 0.0000 0.0000 0.5000
W1 0.5000 0.5000 0.5000

***

A plane-wave DFT calculation with PBE was carried out for a relaxed structure of TbDy2Ni.

Values from the calculation:
For the magnetization, the calculation gives 0.00 μB per atom. For the total DFT energy (no corrections), the calculation gives -20.01 eV/cell. As for the space group: No. 160.

Lattice parameters (Å, degrees): 9.1368 9.1368 9.1368 23.98 23.98 23.98
Atoms (fractional coordinates):
Tb1 0.0000 0.0000 0.0000
Dy1 0.2277 0.2277 0.2277
Dy2 0.4426 0.4426 0.4426
Ni1 0.8359 0.8359 0.8359

***

A plane-wave DFT calculation with PBE was carried out for a relaxed structure of Ca2YSc.

Values from the calculation:
For the magnetization, the calculation gives 0.10 μB per atom. For the total DFT energy (no corrections), the calculation gives -16.44 eV/cell. As for the space group: No. 99.

Lattice parameters (Å, degrees): 3.7074 3.7074 10.0012 90.00 90.00 90.00
Atoms (fractional coordinates):
Ca1 0.0000 0.0000 0.0000
Ca2 0.5000 0.5000 0.2930
Y1 0.5000 0.5000 0.7308
Sc1 0.0000 0.0000 0.5314

***

A plane-wave DFT calculation with PBE was carried out for a relaxed structure of InI4N2.

Values from the calculation:
For the magnetization, the calculation gives 0.00 μB per atom. For the total DFT energy (no corrections), the calculation gives -19.62 eV/cell. As for the space group: No. 12.

Lattice parameters (Å, degrees): 7.9662 7.9662 8.0374 112.53 112.53 28.89
Atoms (fractional coordinates):
In1 0.0000 0.0000 0.0000
I1 0.1501 0.1501 0.4006
I2 0.3977 0.3977 0.1276
I3 0.6023 0.6023 0.8724
I4 0.8499 0.8499 0.5994
N1 0.3162 0.3162 0.6526
N2 0.6838 0.6838 0.3474

***

A plane-wave DFT calculation with PBE was carried out for a relaxed structure of HoTlGaPd.

Values from the calculation:
For the magnetization, the calculation gives 0.00 μB per atom. For the total DFT energy (no corrections), the calculation gives -16.93 eV/cell. As for the space group: No. 216.

Lattice parameters (Å, degrees): 4.9076 4.9076 4.9076 60.00 60.00 60.00
Atoms (fractional coordinates):
Ho1 0.0000 0.0000 0.0000
Tl1 0.5000 0.5000 0.5000
Ga1 0.2500 0.2500 0.2500
Pd1 0.7500 0.7500 0.7500

***

A plane-wave DFT calculation with PBE was carried out for a relaxed structure of AlHg.

Values from the calculation:
For the magnetization, the calculation gives 0.00 μB per atom. For the total DFT energy (no corrections), the calculation gives -14.06 eV/cell. As for the space group: No. 87.

Lattice parameters (Å, degrees): 8.3379 8.3379 8.3379 92.71 92.71 154.86
Atoms (fractional coordinates):
Al1 0.1691 0.2789 0.4480
Al2 0.2789 0.8309 0.1097
Al3 0.7211 0.1691 0.8903
Al4 0.8309 0.7211 0.5520
Hg1 0.0516 0.7470 0.7986
Hg2 0.2530 0.0516 0.3045
Hg3 0.7470 0.9484 0.6955
Hg4 0.9484 0.2530 0.2014

***

A plane-wave DFT calculation with PBE was carried out for a relaxed structure of TlTc3C.

Values from the calculation:
For the magnetization, the calculation gives 0.27 μB per atom. For the total DFT energy (no corrections), the calculation gives -40.73 eV/cell. As for the space group: No. 221.

Lattice parameters (Å, degrees): 4.1696 4.1696 4.1696 90.00 90.00 90.00
Atoms (fractional coordinates):
Tl1 0.0000 0.0000 0.0000
Tc1 0.0000 0.5000 0.5000
Tc2 0.5000 0.0000 0.5000
Tc3 0.5000 0.5000 0.0000
C1 0.5000 0.5000 0.5000

***

A plane-wave DFT calculation with PBE was carried out for a relaxed structure of Be2SnRh2.

Values from the calculation:
For the magnetization, the calculation gives 0.00 μB per atom. For the total DFT energy (no corrections), the calculation gives -55.34 eV/cell. As for the space group: No. 127.

Lattice parameters (Å, degrees): 6.8247 6.8247 2.9223 90.00 90.00 90.00
Atoms (fractional coordinates):
Be1 0.1324 0.3676 0.0000
Be2 0.3676 0.8676 0.0000
Be3 0.6324 0.1324 0.0000
Be4 0.8676 0.6324 0.0000
Sn1 0.0000 0.0000 0.5000
Sn2 0.5000 0.5000 0.5000
Rh1 0.1516 0.6516 0.5000
Rh2 0.3484 0.1516 0.5000
Rh3 0.6516 0.8484 0.5000
Rh4 0.8484 0.3484 0.5000

***

A plane-wave DFT calculation with PBE was carried out for a relaxed structure of RuAu2C.

Values from the calculation:
For the magnetization, the calculation gives 0.54 μB per atom. For the total DFT energy (no corrections), the calculation gives -36.73 eV/cell. As for the space group: No. 122.

Lattice parameters (Å, degrees): 7.0124 7.0124 7.0124 138.23 138.23 60.55
Atoms (fractional coordinates):
Ru1 0.0000 0.0000 0.0000
Ru2 0.7500 0.2500 0.5000
Au1 0.2343 0.6250 0.1093
Au2 0.3750 0.4843 0.6093
Au3 0.5157 0.1250 0.8907
Au4 0.8750 0.7657 0.3907
C1 0.2500 0.7500 0.5000
C2 0.5000 0.5000 0.0000

***

A plane-wave DFT calculation with PBE was carried out for a relaxed structure of NiRh3.

Values from the calculation:
For the magnetization, the calculation gives 0.47 μB per atom. For the total DFT energy (no corrections), the calculation gives -55.17 eV/cell. As for the space group: No. 59.

Lattice parameters (Å, degrees): 4.3490 5.3805 4.6490 90.00 90.00 90.00
Atoms (fractional coordinates):
Ni1 0.2500 0.2500 0.1699
Ni2 0.7500 0.7500 0.8301
Rh1 0.2500 0.5018 0.6685
Rh2 0.2500 0.7500 0.1586
Rh3 0.2500 0.9982 0.6685
Rh4 0.7500 0.0018 0.3315
Rh5 0.7500 0.2500 0.8414
Rh6 0.7500 0.4982 0.3315